This record from Alexandria via LeMat-Bulk describes Tl2CdMo3F12 after structural relaxation. The functional is PBE with a Hubbard U.

Output
Calculated total energy, Ry/atom: -0.367
SG: R-3m, No. 166
DOS(E_F), states/eV per atom: 0.011

Cell lengths 7.7830, 7.7830, 7.7830 Å; angles 61.94, 61.94, 61.94 degrees
With the nearest neighbours (Å) after each atom.
Element x y z (fractional)
Tl  0.1378  0.1378  0.1378  3 F 2.64
Tl  0.8622  0.8622  0.8622  3 F 2.64
Cd  0.5000  0.5000  0.5000  6 F 2.74
Mo  0.0000  0.5000  0.5000  6 F 2.08-2.11
Mo  0.5000  0.0000  0.5000  6 F 2.08-2.11
Mo  0.5000  0.5000  0.0000  6 F 2.08-2.11
F  0.0798  0.6256  0.6256  1 Mo 2.08
F  0.2155  0.2155  0.6009  2 Mo 2.11
F  0.2155  0.6009  0.2155  2 Mo 2.11
F  0.3744  0.3744  0.9202  1 Mo 2.08
F  0.3744  0.9202  0.3744  1 Mo 2.08
F  0.3991  0.7845  0.7845  2 Mo 2.11
F  0.6009  0.2155  0.2155  2 Mo 2.11
F  0.6256  0.0798  0.6256  1 Mo 2.08
F  0.6256  0.6256  0.0798  1 Mo 2.08
F  0.7845  0.3991  0.7845  2 Mo 2.11
F  0.7845  0.7845  0.3991  2 Mo 2.11
F  0.9202  0.3744  0.3744  1 Mo 2.08